(1)
Computed, not measured: a relaxed NaIn2F6 crystal at the PBE-GGA level of DFT.

Results
Total magnetization: 0.000 μB per formula unit
Calculated total energy: -4.37 eV per atom
Space-group type: C2/m (12)

a b c (Å): 6.4534 6.4534 6.9677
angles (deg): 119.85 119.85 32.75
Closest atoms and distances in Å follow each position.
Element x y z (fractional)
1 Na 0.0000 0.0000 0.0000  2 F 2.26
2 In 0.1641 0.1641 0.7190  5 F 2.17-2.24
3 In 0.8359 0.8359 0.2810  5 F 2.17-2.24
4 F 0.0301 0.0301 0.3491  2 In 2.20-2.23, 1 Na 2.26
5 F 0.2585 0.2585 0.3327  2 In 2.17
6 F 0.3504 0.3504 0.0444  1 In 2.24
7 F 0.6496 0.6496 0.9556  1 In 2.24
8 F 0.7415 0.7415 0.6673  2 In 2.17
9 F 0.9699 0.9699 0.6509  2 In 2.20-2.23, 1 Na 2.26

---

(2)
Computed, not measured: a relaxed NaInF2 crystal at the PBE-GGA level of DFT.

Results
Total magnetization: 0.000 μB per formula unit
Calculated total energy: -3.86 eV per atom
Space-group type: Fm-3m (225)
Energy relative to the lowest polymorph listed for this composition: 227 meV/atom

a b c (Å): 6.4204 6.4204 6.4204
angles (deg): 90.00 90.00 90.00
Closest atoms and distances in Å follow each position.
Element x y z (fractional)
1 Na 0.0000 0.0000 0.0000  8 F 2.78
2 Na 0.0000 0.5000 0.5000  8 F 2.78
3 Na 0.5000 0.0000 0.5000  8 F 2.78
4 Na 0.5000 0.5000 0.0000  8 F 2.78
5 In 0.0000 0.0000 0.5000  8 F 2.78
6 In 0.0000 0.5000 0.0000  8 F 2.78
7 In 0.5000 0.0000 0.0000  8 F 2.78
8 In 0.5000 0.5000 0.5000  8 F 2.78
9 F 0.2500 0.2500 0.2500  4 In 2.78, 4 Na 2.78
10 F 0.2500 0.2500 0.7500  4 In 2.78, 4 Na 2.78
11 F 0.2500 0.7500 0.2500  4 In 2.78, 4 Na 2.78
12 F 0.2500 0.7500 0.7500  4 In 2.78, 4 Na 2.78
13 F 0.7500 0.2500 0.2500  4 In 2.78, 4 Na 2.78
14 F 0.7500 0.2500 0.7500  4 In 2.78, 4 Na 2.78
15 F 0.7500 0.7500 0.2500  4 In 2.78, 4 Na 2.78
16 F 0.7500 0.7500 0.7500  4 In 2.78, 4 Na 2.78

---

(3)
Computed, not measured: a relaxed NaIn2F2 crystal at the PBE-GGA level of DFT.

Results
Total magnetization: 0.000 μB per formula unit
Calculated total energy: -3.68 eV per atom
Space-group type: P4/mbm (127)

a b c (Å): 6.3125 6.3125 4.9232
angles (deg): 90.00 90.00 90.00
Closest atoms and distances in Å follow each position.
Element x y z (fractional)
1 Na 0.0000 0.0000 0.0000  4 F 2.27
2 Na 0.5000 0.5000 0.0000  4 F 2.27
3 In 0.1808 0.3192 0.5000  2 F 2.47
4 In 0.3192 0.8192 0.5000  2 F 2.47
5 In 0.6808 0.1808 0.5000  2 F 2.47
6 In 0.8192 0.6808 0.5000  2 F 2.47
7 F 0.2024 0.2976 0.0000  2 Na 2.27, 2 In 2.47
8 F 0.2976 0.7976 0.0000  2 Na 2.27, 2 In 2.47
9 F 0.7024 0.2024 0.0000  2 Na 2.27, 2 In 2.47
10 F 0.7976 0.7024 0.0000  2 Na 2.27, 2 In 2.47

---

(4)
Computed, not measured: a relaxed NaIn2F4 crystal at the PBE-GGA level of DFT.

Results
Total magnetization: 0.000 μB per formula unit
Calculated total energy: -4.02 eV per atom
Space-group type: I4/mmm (139)

a b c (Å): 4.5252 4.5252 11.8725
angles (deg): 90.00 90.00 90.00
Closest atoms and distances in Å follow each position.
Element x y z (fractional)
1 Na 0.0000 0.0000 0.0000  6 F 2.26-2.29
2 Na 0.5000 0.5000 0.5000  6 F 2.26-2.29
3 In 0.0000 0.0000 0.3744  1 F 2.16
4 In 0.0000 0.0000 0.6256  1 F 2.16
5 In 0.5000 0.5000 0.1256  1 F 2.16
6 In 0.5000 0.5000 0.8744  1 F 2.16
7 F 0.0000 0.0000 0.1927  1 In 2.16, 1 Na 2.29
8 F 0.0000 0.0000 0.8073  1 In 2.16, 1 Na 2.29
9 F 0.0000 0.5000 0.0000  2 Na 2.26
10 F 0.0000 0.5000 0.5000  2 Na 2.26
11 F 0.5000 0.0000 0.0000  2 Na 2.26
12 F 0.5000 0.0000 0.5000  2 Na 2.26
13 F 0.5000 0.5000 0.3073  1 In 2.16, 1 Na 2.29
14 F 0.5000 0.5000 0.6927  1 In 2.16, 1 Na 2.29